Density functional theory data (PBE) for a geometry-optimized Ac6TcPd2 structure.

Computed properties:
- energy of formation (eV/atom) = -0.3207
- final energy (eV/atom) = -5.37
- calculated density (Mg/m³) = 8.77
- space-group type = P2_1/c, No. 14

Cell: 7.191 7.988 12.753 Å, 90.00 120.18 90.00°
Element x y z (fractional)
Ac  0.088  0.048  0.247
Ac  0.088  0.452  0.747
Ac  0.242  0.685  0.074
Ac  0.242  0.815  0.574
Ac  0.393  0.182  0.067
Ac  0.393  0.318  0.567
Ac  0.607  0.682  0.433
Ac  0.607  0.818  0.933
Ac  0.758  0.185  0.426
Ac  0.758  0.315  0.926
Ac  0.912  0.548  0.253
Ac  0.912  0.952  0.753
Tc  0.000  0.000  0.000
Tc  0.000  0.500  0.500
Pd  0.328  0.114  0.770
Pd  0.328  0.386  0.270
Pd  0.672  0.614  0.730
Pd  0.672  0.886  0.230